This record from OQMD describes a relaxed structure of Tb2NdNi9. The functional is PBE.

Cell: 8.6110 8.6110 8.6110 Å, 33.68 33.68 33.68°
Each line ends with the local moment (μB).
Atoms (fractional coordinates):
Ni1 0.3329 0.3329 0.3329  -0.09
Ni2 0.6671 0.6671 0.6671  -0.09
Ni3 0.4169 0.4169 0.9180  -0.09
Ni4 0.4169 0.9180 0.4169  -0.11
Ni5 0.0820 0.5831 0.5831  -0.09
Ni6 0.5000 0.5000 0.5000  -0.07
Ni7 0.5831 0.0820 0.5831  -0.11
Ni8 0.5831 0.5831 0.0820  -0.09
Ni9 0.9180 0.4169 0.4169  -0.09
Nd1 0.0000 0.0000 0.0000  0.01
Tb1 0.8605 0.8605 0.8605  0.03
Tb2 0.1395 0.1395 0.1395  0.03

Summary:
* DFT total energy: -0.210 Ha/atom
* formation energy from the elements: -0.382 eV per atom
* volume: 175.0 Å³/cell
* magnetization: 0.7 μB/f.u.

=====

This record from OQMD describes a relaxed structure of TbNdNi. The functional is PBE.

Cell: 4.8325 4.8325 4.8325 Å, 60.00 60.00 60.00°
Atoms (fractional coordinates):
Nd1 0.2500 0.2500 0.2500
Tb1 0.7500 0.7500 0.7500
Ni1 0.0000 0.0000 0.0000

Summary:
* DFT total energy: -0.187 Ha/atom
* formation energy from the elements: -0.089 eV per atom
* ΔE to the lowest computed polymorph: 0.00 eV per formula unit
* volume: 79.8 Å³/cell
* magnetization: 0.0 μB/f.u.

=====

This record from OQMD describes a relaxed structure of TbNdTlNi2. The functional is PBE.

Cell: 3.7372 7.5697 7.5697 Å, 30.33 90.00 90.00°
Atoms (fractional coordinates):
Nd1 0.5000 0.3628 0.3628
Ni1 0.0000 0.7951 0.7951
Ni2 0.0000 0.1991 0.1991
Tb1 0.5000 0.6393 0.6393
Tl1 0.0000 0.0038 0.0038

Summary:
* DFT total energy: -0.184 Ha/atom
* volume: 108.1 Å³/cell
* magnetization: 0.0 μB/f.u.

=====

This record from OQMD describes a relaxed structure of Tb2NdTl3Ni3. The functional is PBE.

Cell: 3.8268 7.6042 7.6042 Å, 119.92 90.00 90.00°
Atoms (fractional coordinates):
Tl1 0.5000 0.0036 0.7414
Tl2 0.5000 0.2557 0.2557
Tl3 0.5000 0.7414 0.0036
Ni1 0.5000 0.3309 0.6681
Ni2 0.0000 0.0006 0.0006
Ni3 0.5000 0.6681 0.3309
Tb1 0.0000 0.0004 0.4103
Tb2 0.0000 0.4103 0.0004
Nd1 0.0000 0.5892 0.5892

Summary:
* DFT total energy: -0.167 Ha/atom
* volume: 191.8 Å³/cell
* magnetization: 0.0 μB/f.u.

=====

This record from OQMD describes a relaxed structure of NdThNi. The functional is PBE.

Cell: 4.8435 4.8435 4.8435 Å, 60.00 60.00 60.00°
Atoms (fractional coordinates):
Th1 0.7500 0.7500 0.7500
Ni1 0.0000 0.0000 0.0000
Nd1 0.2500 0.2500 0.2500

Summary:
* DFT total energy: -0.216 Ha/atom
* formation energy from the elements: 0.030 eV per atom
* ΔE to the lowest computed polymorph: 0.00 eV per formula unit
* volume: 80.3 Å³/cell
* magnetization: 0.0 μB/f.u.

=====

This record from OQMD describes a relaxed structure of Nd2ThNi9. The functional is PBE.

Cell: 8.7912 8.7912 8.7912 Å, 33.08 33.08 33.08°
Atoms (fractional coordinates):
Ni1 0.5804 0.0818 0.5804
Ni2 0.0818 0.5804 0.5804
Ni3 0.4196 0.9182 0.4196
Ni4 0.6671 0.6671 0.6671
Ni5 0.9182 0.4196 0.4196
Ni6 0.5804 0.5804 0.0818
Ni7 0.4196 0.4196 0.9182
Ni8 0.5000 0.5000 0.5000
Ni9 0.3329 0.3329 0.3329
Th1 0.0000 0.0000 0.0000
Nd1 0.8608 0.8608 0.8608
Nd2 0.1392 0.1392 0.1392

Summary:
* DFT total energy: -0.219 Ha/atom
* formation energy from the elements: -0.372 eV per atom
* volume: 180.1 Å³/cell
* magnetization: 0.0 μB/f.u.

=====

This record from OQMD describes a relaxed structure of Nd2Tl8Ni. The functional is PBE.

Cell: 4.8178 4.8178 12.6984 Å, 90.00 90.00 90.00°
Atoms (fractional coordinates):
Tl1 0.5000 0.5000 0.6873
Tl2 0.5000 0.5000 0.3127
Tl3 0.0000 0.5000 0.1199
Tl4 0.5000 0.0000 0.5000
Tl5 0.0000 0.5000 0.8801
Tl6 0.0000 0.5000 0.5000
Tl7 0.5000 0.0000 0.1199
Tl8 0.5000 0.0000 0.8801
Nd1 0.0000 0.0000 0.3048
Nd2 0.0000 0.0000 0.6952
Ni1 0.0000 0.0000 0.0000

Summary:
* DFT total energy: -0.120 Ha/atom
* volume: 294.7 Å³/cell
* magnetization: 0.0 μB/f.u.

=====

This record from OQMD describes a relaxed structure of NdYTlNi2. The functional is PBE.

Cell: 3.7547 7.5684 7.5684 Å, 30.39 90.00 90.00°
Atoms (fractional coordinates):
Ni1 0.0000 0.7960 0.7960
Ni2 0.0000 0.1998 0.1998
Tl1 0.0000 0.0035 0.0035
Y1 0.5000 0.6384 0.6384
Nd1 0.5000 0.3622 0.3622

Summary:
* DFT total energy: -0.198 Ha/atom
* volume: 108.8 Å³/cell
* magnetization: 0.0 μB/f.u.